i) A relaxed Ce2CdPd crystal, computed with GGA-PBE.

POSCAR file:
```
Ce2CdPd
1.0
1.5235 0.8796 11.6781
-1.5235 0.8796 11.6781
0.0000 -1.7592 11.6781
Ce Cd Pd
2 1 1
direct
0.0955 0.0955 0.0955 Ce
0.9045 0.9045 0.9045 Ce
0.0000 0.0000 0.0000 Cd
0.5000 0.5000 0.5000 Pd
```


ii) A relaxed Ce2CdPd crystal, computed with GGA-PBE.

POSCAR file:
```
Ce2CdPd
1.0
3.8361 0.0000 0.0000
0.0000 3.8361 0.0000
0.0000 0.0000 6.7486
Ce Cd Pd
2 1 1
direct
0.0000 0.0000 0.2106 Ce
0.0000 0.0000 0.7894 Ce
0.5000 0.5000 0.5000 Cd
0.5000 0.5000 0.0000 Pd
```


iii) A relaxed Ce2CdPd crystal, computed with GGA-PBE.

POSCAR file:
```
Ce2CdPd
1.0
0.0000 3.7010 3.7010
3.7010 0.0000 3.7010
3.7010 3.7010 0.0000
Ce Cd Pd
2 1 1
direct
0.2500 0.2500 0.2500 Ce
0.7500 0.7500 0.7500 Ce
0.0000 0.0000 0.0000 Cd
0.5000 0.5000 0.5000 Pd
```


Stability order, top to bottom: ii), iii), i)


i) A relaxed CeCdPd6 crystal, computed with GGA-PBE.

POSCAR file:
```
CeCdPd6
1.0
4.1259 0.0000 0.0000
0.0000 4.1259 0.0000
0.0000 0.0000 8.0687
Ce Cd Pd
1 1 6
direct
0.0000 0.0000 0.0000 Ce
0.0000 0.0000 0.5000 Cd
0.0000 0.5000 0.2515 Pd
0.0000 0.5000 0.7485 Pd
0.5000 0.0000 0.2515 Pd
0.5000 0.0000 0.7485 Pd
0.5000 0.5000 0.0000 Pd
0.5000 0.5000 0.5000 Pd
```


ii) A relaxed CeCdPd6 crystal, computed with GGA-PBE.

POSCAR file:
```
CeCdPd6
1.0
4.6732 0.0000 0.0000
0.0000 2.9116 5.0434
0.0000 -2.9116 5.0434
Ce Cd Pd
1 1 6
direct
0.0000 0.0000 0.0000 Ce
0.5000 0.6672 0.6672 Cd
0.0000 0.0042 0.4989 Pd
0.0000 0.4989 0.0042 Pd
0.0000 0.4988 0.4988 Pd
0.5000 0.1698 0.1698 Pd
0.5000 0.1702 0.6598 Pd
0.5000 0.6598 0.1702 Pd
```


Stability order, top to bottom: i), ii)


i) A relaxed Ce3Cd4Pd4 crystal, computed with GGA-PBE.

POSCAR file:
```
Ce3Cd4Pd4
1.0
-2.0176 4.1084 7.5004
2.0176 -4.1084 7.5004
2.0176 4.1084 -7.5004
Ce Cd Pd
3 4 4
direct
0.0000 0.0000 0.0000 Ce
0.3819 0.8819 0.5000 Ce
0.6181 0.1181 0.5000 Ce
0.0201 0.3294 0.6908 Cd
0.3614 0.6706 0.6908 Cd
0.6386 0.3294 0.3093 Cd
0.9799 0.6706 0.3093 Cd
0.2399 0.2399 0.0000 Pd
0.3163 0.5000 0.8163 Pd
0.6837 0.5000 0.1837 Pd
0.7601 0.7601 0.0000 Pd
```


ii) A relaxed Ce3Cd4Pd4 crystal, computed with GGA-PBE.

POSCAR file:
```
Ce3Cd4Pd4
1.0
9.1352 0.0000 0.0000
0.0000 2.3104 5.7044
0.0000 -2.3104 5.7044
Ce Cd Pd
3 4 4
direct
0.0000 0.0000 0.0000 Ce
0.2933 0.1293 0.1293 Ce
0.7067 0.1293 0.1293 Ce
0.0000 0.3002 0.3002 Cd
0.2773 0.8288 0.8288 Cd
0.5000 0.3928 0.3928 Cd
0.7227 0.8288 0.8288 Cd
0.0000 0.6643 0.6643 Pd
0.2181 0.4793 0.4793 Pd
0.5000 0.6503 0.6503 Pd
0.7819 0.4793 0.4793 Pd
```


Stability order, top to bottom: i), ii)


i) A relaxed CePmCd4 crystal, computed with GGA-PBE.

POSCAR file:
```
CePmCd4
1.0
3.3350 -8.8382 0.0000
3.3350 8.8382 0.0000
0.0000 0.0000 5.1131
Ce Pm Cd
2 2 8
direct
0.1250 0.8750 0.7500 Ce
0.8750 0.1250 0.2500 Ce
0.3749 0.6251 0.2500 Pm
0.6251 0.3749 0.7500 Pm
0.0399 0.4565 0.7500 Cd
0.2047 0.2880 0.7500 Cd
0.2880 0.2047 0.2500 Cd
0.4565 0.0399 0.2500 Cd
0.5435 0.9601 0.7500 Cd
0.7120 0.7953 0.7500 Cd
0.7953 0.7120 0.2500 Cd
0.9601 0.5435 0.2500 Cd
```


ii) A relaxed CePmCd4 crystal, computed with GGA-PBE.

POSCAR file:
```
CePmCd4
1.0
0.0000 4.2265 4.2265
4.2265 0.0000 4.2265
4.2265 4.2265 0.0000
Ce Pm Cd
1 1 4
direct
0.0000 0.0000 0.0000 Ce
0.7500 0.7500 0.7500 Pm
0.3751 0.3751 0.3751 Cd
0.3751 0.3751 0.8747 Cd
0.3751 0.8747 0.3751 Cd
0.8747 0.3751 0.3751 Cd
```


Stability order, top to bottom: i), ii)


i) A relaxed CePmCd crystal, computed with GGA-PBE.

POSCAR file:
```
CePmCd
1.0
-1.7649 1.7649 7.0932
1.7649 -1.7649 7.0932
1.7649 1.7649 -7.0932
Ce Pm Cd
1 1 1
direct
0.0000 0.0000 0.0000 Ce
0.3135 0.3135 0.0000 Pm
0.6582 0.6582 0.0000 Cd
```


ii) A relaxed CePmCd crystal, computed with GGA-PBE.

POSCAR file:
```
CePmCd
1.0
5.3270 0.0000 0.0000
-2.6635 4.6134 0.0000
0.0000 0.0000 3.4144
Ce Pm Cd
1 1 1
direct
0.0000 0.0000 0.0000 Ce
0.6667 0.3333 0.6299 Pm
0.3333 0.6667 0.3360 Cd
```


Stability order, top to bottom: i), ii)


i) A relaxed Ce2PrCd crystal, computed with GGA-PBE.

POSCAR file:
```
Ce2PrCd
1.0
4.7601 0.0000 0.0000
0.0000 4.7601 0.0000
0.0000 0.0000 5.1211
Ce Pr Cd
2 1 1
direct
0.0000 0.5000 0.0000 Ce
0.5000 0.0000 0.0000 Ce
0.0000 0.0000 0.5000 Pr
0.5000 0.5000 0.5000 Cd
```


ii) A relaxed Ce2PrCd crystal, computed with GGA-PBE.

POSCAR file:
```
Ce2PrCd
1.0
3.3846 0.0000 0.0000
0.0000 3.3846 0.0000
0.0000 0.0000 10.2272
Ce Pr Cd
2 1 1
direct
0.0000 0.0000 0.2316 Ce
0.0000 0.0000 0.7684 Ce
0.5000 0.5000 0.5000 Pr
0.5000 0.5000 0.0000 Cd
```


iii) A relaxed Ce2PrCd crystal, computed with GGA-PBE.

POSCAR file:
```
Ce2PrCd
1.0
0.0000 3.8875 3.8875
3.8875 0.0000 3.8875
3.8875 3.8875 0.0000
Ce Pr Cd
2 1 1
direct
0.2500 0.2500 0.2500 Ce
0.7500 0.7500 0.7500 Ce
0.0000 0.0000 0.0000 Pr
0.5000 0.5000 0.5000 Cd
```


iv) A relaxed Ce2PrCd crystal, computed with GGA-PBE.

POSCAR file:
```
Ce2PrCd
1.0
1.6237 0.9374 12.2941
-1.6237 0.9374 12.2941
0.0000 -1.8749 12.2941
Ce Pr Cd
2 1 1
direct
0.0902 0.0902 0.0902 Ce
0.9098 0.9098 0.9098 Ce
0.0000 0.0000 0.0000 Pr
0.5000 0.5000 0.5000 Cd
```


Stability order, top to bottom: i), ii), iii), iv)


i) A relaxed CePrCd crystal, computed with GGA-PBE.

POSCAR file:
```
CePrCd
1.0
5.3281 0.0000 0.0000
-2.6641 4.6143 0.0000
0.0000 0.0000 3.4740
Ce Pr Cd
1 1 1
direct
0.0000 0.0000 0.0000 Ce
0.6667 0.3333 0.3564 Pr
0.3333 0.6667 0.6676 Cd
```


ii) A relaxed CePrCd crystal, computed with GGA-PBE.

POSCAR file:
```
CePrCd
1.0
1.7844 -8.7560 0.0000
1.7844 8.7560 0.0000
0.0000 0.0000 5.5240
Ce Pr Cd
2 2 2
direct
0.2455 0.7545 0.7500 Ce
0.7545 0.2455 0.2500 Ce
0.4294 0.5706 0.2500 Pr
0.5706 0.4294 0.7500 Pr
0.0993 0.9007 0.2500 Cd
0.9007 0.0993 0.7500 Cd
```


Stability order, top to bottom: ii), i)


i) A relaxed Ce2CdPt crystal, computed with GGA-PBE.

POSCAR file:
```
Ce2CdPt
1.0
0.0000 3.6797 3.6797
3.6797 0.0000 3.6797
3.6797 3.6797 0.0000
Ce Cd Pt
2 1 1
direct
0.2500 0.2500 0.2500 Ce
0.7500 0.7500 0.7500 Ce
0.0000 0.0000 0.0000 Cd
0.5000 0.5000 0.5000 Pt
```


ii) A relaxed Ce2CdPt crystal, computed with GGA-PBE.

POSCAR file:
```
Ce2CdPt
1.0
4.5444 0.0000 0.0000
0.0000 4.5444 0.0000
0.0000 0.0000 4.4535
Ce Cd Pt
2 1 1
direct
0.0000 0.5000 0.0000 Ce
0.5000 0.0000 0.0000 Ce
0.0000 0.0000 0.5000 Cd
0.5000 0.5000 0.5000 Pt
```


iii) A relaxed Ce2CdPt crystal, computed with GGA-PBE.

POSCAR file:
```
Ce2CdPt
1.0
1.9814 1.1440 10.1317
-1.9814 1.1440 10.1317
0.0000 -2.2880 10.1317
Ce Cd Pt
2 1 1
direct
0.1109 0.1109 0.1109 Ce
0.8891 0.8891 0.8891 Ce
0.0000 0.0000 0.0000 Cd
0.5000 0.5000 0.5000 Pt
```


iv) A relaxed Ce2CdPt crystal, computed with GGA-PBE.

POSCAR file:
```
Ce2CdPt
1.0
3.8060 0.0000 0.0000
0.0000 3.8060 0.0000
0.0000 0.0000 6.8490
Ce Cd Pt
2 1 1
direct
0.0000 0.0000 0.2096 Ce
0.0000 0.0000 0.7904 Ce
0.5000 0.5000 0.5000 Cd
0.5000 0.5000 0.0000 Pt
```


Stability order, top to bottom: iv), ii), i), iii)


i) A relaxed Ce2CdPt crystal, computed with GGA-PBE.

POSCAR file:
```
Ce2CdPt
1.0
2.0443 1.1803 8.0765
-2.0443 1.1803 8.0765
0.0000 -2.3606 8.0765
Ce Cd Pt
2 1 1
direct
0.0000 0.0000 0.0000 Ce
0.1974 0.1974 0.1974 Ce
0.7662 0.7662 0.7662 Cd
0.5988 0.5988 0.5988 Pt
```


ii) A relaxed Ce2CdPt crystal, computed with GGA-PBE.

POSCAR file:
```
Ce2CdPt
1.0
6.9603 0.0000 0.0000
0.0000 3.6308 0.0000
0.0000 0.0000 7.7018
Ce Cd Pt
4 2 2
direct
0.0412 0.0000 0.2175 Ce
0.4588 0.0000 0.2175 Ce
0.5412 0.0000 0.7825 Ce
0.9588 0.0000 0.7825 Ce
0.2500 0.5000 0.5311 Cd
0.7500 0.5000 0.4689 Cd
0.2500 0.5000 0.9350 Pt
0.7500 0.5000 0.0650 Pt
```


Stability order, top to bottom: ii), i)


i) A relaxed Ce3CdPt crystal, computed with GGA-PBE.

POSCAR file:
```
Ce3CdPt
1.0
7.7943 -5.0848 0.0000
7.7943 5.0848 0.0000
0.0000 0.0000 6.5472
Ce Cd Pt
12 4 4
direct
0.1605 0.6621 0.5326 Ce
0.1605 0.6621 0.9674 Ce
0.2531 0.2531 0.0000 Ce
0.2531 0.2531 0.5000 Ce
0.3379 0.8395 0.5326 Ce
0.3379 0.8395 0.9674 Ce
0.6621 0.1605 0.0326 Ce
0.6621 0.1605 0.4674 Ce
0.7469 0.7469 0.0000 Ce
0.7469 0.7469 0.5000 Ce
0.8395 0.3379 0.0326 Ce
0.8395 0.3379 0.4674 Ce
0.0142 0.9858 0.2500 Cd
0.4861 0.5139 0.2500 Cd
0.5139 0.4861 0.7500 Cd
0.9858 0.0142 0.7500 Cd
0.0125 0.5132 0.2500 Pt
0.4868 0.9875 0.2500 Pt
0.5132 0.0125 0.7500 Pt
0.9875 0.4868 0.7500 Pt
```


ii) A relaxed Ce3CdPt crystal, computed with GGA-PBE.

POSCAR file:
```
Ce3CdPt
1.0
8.2470 0.0000 0.0000
0.0000 3.6667 0.0000
-1.2169 0.0000 8.4679
Ce Cd Pt
6 2 2
direct
0.0398 0.2500 0.1653 Ce
0.3220 0.2500 0.8520 Ce
0.4444 0.2500 0.3799 Ce
0.5556 0.7500 0.6201 Ce
0.6780 0.7500 0.1480 Ce
0.9602 0.7500 0.8347 Ce
0.1504 0.7500 0.5139 Cd
0.8496 0.2500 0.4861 Cd
0.3013 0.7500 0.1103 Pt
0.6987 0.2500 0.8897 Pt
```


Stability order, top to bottom: ii), i)


i) A relaxed CePuCd crystal, computed with GGA-PBE.

POSCAR file:
```
CePuCd
1.0
5.5180 -2.0449 0.0000
5.5180 2.0449 0.0000
-2.6448 0.0000 6.5879
Ce Pu Cd
2 2 2
direct
0.0225 0.0225 0.2736 Ce
0.9775 0.9775 0.7264 Ce
0.3497 0.3497 0.4630 Pu
0.6503 0.6503 0.5370 Pu
0.3158 0.3158 0.9185 Cd
0.6842 0.6842 0.0815 Cd
```


ii) A relaxed CePuCd crystal, computed with GGA-PBE.

POSCAR file:
```
CePuCd
1.0
3.1707 0.0000 0.0000
0.0000 3.1287 0.0000
-1.6062 0.0000 7.4355
Ce Pu Cd
1 1 1
direct
0.0000 0.0000 0.0000 Ce
0.3458 0.0000 0.6814 Pu
0.6747 0.5000 0.3442 Cd
```


Stability order, top to bottom: i), ii)